[1]
Crystalline ZrCrCd2 at its relaxed geometry, computed with PBE.

```
data_ZrCrCd2
_chemical_formula_sum 'Zr1 Cr1 Cd2'
_cell_length_a 4.850
_cell_length_b 4.850
_cell_length_c 4.850
_cell_angle_alpha 60.00
_cell_angle_beta 60.00
_cell_angle_gamma 60.00
_space_group_name_H-M_alt 'P 1'
_space_group_IT_number 1
loop_
_space_group_symop_operation_xyz
'x,y,z'
loop_
_atom_site_label
_atom_site_type_symbol
_atom_site_fract_x
_atom_site_fract_y
_atom_site_fract_z
Cd1 Cd 0.000 0.000 0.000
Cd2 Cd 0.250 0.250 0.250
Zr1 Zr 0.750 0.750 0.750
Cr1 Cr 0.500 0.500 0.500
```

Properties
The energy above the most stable polymorph in this dataset is 132.5 meV/atom. The calculation puts the energy of formation at 0.25 eV per atom.

***

[2]
Crystalline SrZrTl at its relaxed geometry, computed with PBE.

```
data_SrZrTl
_chemical_formula_sum 'Sr1 Zr1 Tl1'
_cell_length_a 5.280
_cell_length_b 5.280
_cell_length_c 3.726
_cell_angle_alpha 90.00
_cell_angle_beta 90.00
_cell_angle_gamma 120.00
_space_group_name_H-M_alt 'P 1'
_space_group_IT_number 1
loop_
_space_group_symop_operation_xyz
'x,y,z'
loop_
_atom_site_label
_atom_site_type_symbol
_atom_site_fract_x
_atom_site_fract_y
_atom_site_fract_z
Zr1 Zr 0.333 0.667 0.501
Tl1 Tl 0.667 0.333 0.499
Sr1 Sr 0.000 0.000 0.000
```

Properties
The energy above the most stable polymorph in this dataset is 70.1 meV/atom. The calculation puts the energy of formation at 0.20 eV per atom.

***

[3]
Crystalline SrCd3P at its relaxed geometry, computed with PBE.

```
data_SrCd3P
_chemical_formula_sum 'Sr1 Cd3 P1'
_cell_length_a 6.448
_cell_length_b 6.448
_cell_length_c 6.448
_cell_angle_alpha 90.00
_cell_angle_beta 90.00
_cell_angle_gamma 90.00
_space_group_name_H-M_alt 'P 1'
_space_group_IT_number 1
loop_
_space_group_symop_operation_xyz
'x,y,z'
loop_
_atom_site_label
_atom_site_type_symbol
_atom_site_fract_x
_atom_site_fract_y
_atom_site_fract_z
Sr1 Sr 0.000 0.000 0.000
Cd1 Cd 0.000 0.000 0.500
Cd2 Cd 0.500 0.000 0.000
Cd3 Cd 0.000 0.500 0.000
P1 P 0.500 0.500 0.500
```

Properties
The energy above the most stable polymorph in this dataset is 944.5 meV/atom. The calculation puts the energy of formation at 1.02 eV per atom.

***

[4]
Crystalline Th3Zn9Ga2 at its relaxed geometry, computed with PBE.

```
data_Th3Zn9Ga2
_chemical_formula_sum 'Th3 Zn9 Ga2'
_cell_length_a 4.393
_cell_length_b 8.321
_cell_length_c 8.321
_cell_angle_alpha 70.27
_cell_angle_beta 74.69
_cell_angle_gamma 74.69
_space_group_name_H-M_alt 'P 1'
_space_group_IT_number 1
loop_
_space_group_symop_operation_xyz
'x,y,z'
loop_
_atom_site_label
_atom_site_type_symbol
_atom_site_fract_x
_atom_site_fract_y
_atom_site_fract_z
Zn1 Zn 0.855 0.418 0.872
Zn2 Zn 0.340 0.291 0.028
Zn3 Zn 0.000 0.500 0.500
Zn4 Zn 0.145 0.582 0.128
Zn5 Zn 0.340 0.028 0.291
Zn6 Zn 0.145 0.128 0.582
Zn7 Zn 0.660 0.972 0.709
Zn8 Zn 0.855 0.872 0.418
Zn9 Zn 0.660 0.709 0.972
Ga1 Ga 0.500 0.710 0.290
Ga2 Ga 0.500 0.290 0.710
Th1 Th 0.692 0.308 0.308
Th2 Th 0.000 0.000 0.000
Th3 Th 0.308 0.692 0.692
```

Properties
The calculation puts the energy of formation at -0.30 eV per atom.

***

[5]
Crystalline As2Pt at its relaxed geometry, computed with PBE.

```
data_As2Pt
_chemical_formula_sum 'As8 Pt4'
_cell_length_a 6.061
_cell_length_b 6.061
_cell_length_c 6.061
_cell_angle_alpha 90.00
_cell_angle_beta 90.00
_cell_angle_gamma 90.00
_space_group_name_H-M_alt 'P 1'
_space_group_IT_number 1
loop_
_space_group_symop_operation_xyz
'x,y,z'
loop_
_atom_site_label
_atom_site_type_symbol
_atom_site_fract_x
_atom_site_fract_y
_atom_site_fract_z
Pt1 Pt 0.000 0.000 0.000
Pt2 Pt 0.500 0.500 0.000
Pt3 Pt 0.000 0.500 0.500
Pt4 Pt 0.500 0.000 0.500
As1 As 0.117 0.883 0.383
As2 As 0.383 0.383 0.383
As3 As 0.617 0.883 0.117
As4 As 0.617 0.617 0.617
As5 As 0.117 0.617 0.883
As6 As 0.883 0.117 0.617
As7 As 0.383 0.117 0.883
As8 As 0.883 0.383 0.117
```

Properties
The calculation puts the energy of formation at -0.53 eV per atom.

***

[6]
Crystalline LiTb2Sm at its relaxed geometry, computed with PBE.

```
data_LiTb2Sm
_chemical_formula_sum 'Li1 Tb2 Sm1'
_cell_length_a 3.702
_cell_length_b 5.682
_cell_length_c 5.682
_cell_angle_alpha 90.00
_cell_angle_beta 90.00
_cell_angle_gamma 90.00
_space_group_name_H-M_alt 'P 1'
_space_group_IT_number 1
loop_
_space_group_symop_operation_xyz
'x,y,z'
loop_
_atom_site_label
_atom_site_type_symbol
_atom_site_fract_x
_atom_site_fract_y
_atom_site_fract_z
Tb1 Tb 0.000 0.500 0.000
Tb2 Tb 0.000 0.000 0.500
Li1 Li 0.500 0.000 0.000
Sm1 Sm 0.500 0.500 0.500
```

Properties
The energy above the most stable polymorph in this dataset is 88.5 meV/atom. The calculation puts the energy of formation at 0.16 eV per atom.

***

[7]
Crystalline Ca2ScCr at its relaxed geometry, computed with PBE.

```
data_Ca2ScCr
_chemical_formula_sum 'Ca2 Sc1 Cr1'
_cell_length_a 3.581
_cell_length_b 3.581
_cell_length_c 8.944
_cell_angle_alpha 90.00
_cell_angle_beta 90.00
_cell_angle_gamma 90.00
_space_group_name_H-M_alt 'P 1'
_space_group_IT_number 1
loop_
_space_group_symop_operation_xyz
'x,y,z'
loop_
_atom_site_label
_atom_site_type_symbol
_atom_site_fract_x
_atom_site_fract_y
_atom_site_fract_z
Cr1 Cr 0.000 0.000 0.536
Sc1 Sc 0.500 0.500 0.686
Ca1 Ca 0.500 0.500 0.309
Ca2 Ca 0.000 0.000 0.968
```

Properties
The energy above the most stable polymorph in this dataset is 0.0 meV/atom. The calculation puts the energy of formation at 0.30 eV per atom.

***

[8]
Crystalline HgTeAs2 at its relaxed geometry, computed with PBE.

```
data_HgTeAs2
_chemical_formula_sum 'Hg1 Te1 As2'
_cell_length_a 5.346
_cell_length_b 5.346
_cell_length_c 5.722
_cell_angle_alpha 125.17
_cell_angle_beta 125.17
_cell_angle_gamma 66.07
_space_group_name_H-M_alt 'P 1'
_space_group_IT_number 1
loop_
_space_group_symop_operation_xyz
'x,y,z'
loop_
_atom_site_label
_atom_site_type_symbol
_atom_site_fract_x
_atom_site_fract_y
_atom_site_fract_z
As1 As 0.429 0.679 0.554
As2 As 0.808 0.058 0.954
Te1 Te 0.886 0.136 0.493
Hg1 Hg 0.377 0.627 0.000
```

Properties
The energy above the most stable polymorph in this dataset is 2.8 meV/atom.

***

| no. | electronic total energy (eV per atom) |
| --- | --- |
| 1 | -4.746 |
| 2 | -4.003 |
| 3 | -0.944 |
| 4 | -3.140 |
| 5 | -5.645 |
| 6 | -3.811 |
| 7 | -4.691 |
| 8 | -3.094 |